(1)
A plane-wave DFT calculation with PBE was carried out for crystalline BaLiI at its relaxed geometry.

Unit cell a=7.213 b=9.242 c=9.242 alpha=59.68 beta=70.17 gamma=70.17
Atoms (fractional coordinates):
Ba1 0.809 0.565 0.315
Li1 0.623 0.025 0.275
Li2 0.623 0.525 0.775
I1 0.777 0.842 0.592
I2 0.223 0.658 0.908
Li3 0.377 0.475 0.225
I3 0.223 0.158 0.408
Ba2 0.191 0.435 0.685
Ba3 0.809 0.065 0.815
I4 0.777 0.342 0.092
Li4 0.377 0.975 0.725
Ba4 0.191 0.935 0.185

Calculated values
formation energy without anion corrections = -0.7298 eV per atom
total DFT energy (no corrections) = -2.525 eV per atom

(2)
A plane-wave DFT calculation with PBE was carried out for crystalline SrY2Sc at its relaxed geometry.

Unit cell a=3.929 b=5.860 c=5.848 alpha=90.00 beta=90.00 gamma=90.00
Each line ends with the local moment (μB).
Atoms (fractional coordinates):
Y1 0.500 0.500 0.000  0.10
Sc1 0.500 0.000 0.500  0.21
Y2 0.000 0.000 0.000  0.13
Sr1 0.000 0.500 0.500  0.02

Calculated values
total DFT energy (no corrections) = -4.946 eV per atom
ΔH_f (0 K) = 0.289 eV per atom

(3)
A plane-wave DFT calculation with PBE was carried out for crystalline NaAlSbTe at its relaxed geometry.

Unit cell a=4.319 b=3.336 c=16.231 alpha=90.00 beta=90.00 gamma=90.00
Atoms (fractional coordinates):
Te1 0.500 0.500 0.513
Te2 0.500 0.000 0.013
Al1 0.500 0.000 0.849
Al2 0.500 0.500 0.349
Sb1 0.000 0.500 0.786
Na1 0.000 0.500 0.112
Sb2 0.000 0.000 0.286
Na2 0.000 0.000 0.612

Calculated values
formation energy without anion corrections = -0.2681 eV per atom
total DFT energy (no corrections) = -3.350 eV per atom

(4)
A plane-wave DFT calculation with PBE was carried out for crystalline RbTl4In4 at its relaxed geometry.

Unit cell a=5.159 b=7.806 c=7.806 alpha=83.73 beta=70.70 gamma=70.70
Atoms (fractional coordinates):
In1 0.352 0.649 0.648
In2 0.648 0.351 0.352
Rb1 0.000 0.000 0.000
Tl1 0.677 0.000 0.647
Tl2 0.677 0.647 0.000
Tl3 0.323 0.353 0.000
Tl4 0.323 0.000 0.353
In3 0.000 0.352 0.649
In4 0.000 0.648 0.351

Calculated values
total DFT energy (no corrections) = -2.393 eV per atom
ΔH_f (0 K) = -0.017 eV per atom

(5)
A plane-wave DFT calculation with PBE was carried out for crystalline GaCuC2Cl at its relaxed geometry.

Unit cell a=3.772 b=6.748 c=3.772 alpha=90.00 beta=90.00 gamma=90.00
Each line ends with the local moment (μB).
Atoms (fractional coordinates):
Cl1 0.500 0.500 0.500  0.02
Cu1 0.000 0.500 0.000  0.06
C1 0.500 0.000 0.000  0.22
C2 0.000 0.000 0.500  0.10
Ga1 0.000 0.000 0.000  -0.01

Calculated values
formation energy without anion corrections = 1.8767 eV per atom
total DFT energy (no corrections) = -3.607 eV per atom

(6)
A plane-wave DFT calculation with PBE was carried out for crystalline HgRhCl2 at its relaxed geometry.

Unit cell a=3.185 b=4.621 c=7.182 alpha=71.33 beta=90.00 gamma=90.00
Each line ends with the local moment (μB).
Atoms (fractional coordinates):
Rh1 0.500 0.984 0.656  0.45
Hg1 0.000 0.512 0.600  -0.01
Cl1 0.500 0.152 0.320  0.03
Cl2 0.000 0.851 0.924  0.08

Calculated values
formation energy without anion corrections = -0.1715 eV per atom
total DFT energy (no corrections) = -3.008 eV per atom